The following is a SCAN calculation of a crystal of TcPdNF2 relaxed with PBEsol, from Alexandria.

Lattice parameters (Å, degrees): 3.679 4.320 4.320 90.00 90.00 90.00
Atoms (fractional coordinates):
F: 0.000 0.000 0.500
F: 0.000 0.500 0.000
Tc: 0.500 0.500 0.500
N: 0.500 0.000 0.000
Pd: 0.000 0.000 0.000

Summary:
SG ... P4/mmm, No. 123
Raw formation energy ... 0.259 eV per atom

=====

The following is a SCAN calculation of a crystal of AlCoAs relaxed with PBEsol, from Alexandria.

Lattice parameters (Å, degrees): 2.955 2.955 5.570 90.00 90.00 120.00
Atoms (fractional coordinates):
As: 0.333 0.667 0.629
Al: 0.000 0.000 0.029
Co: 0.667 0.333 0.343

Summary:
SG ... P3m1, No. 156
Formation energy from the elements ... -0.07 eV per atom

=====

The following is a SCAN calculation of a crystal of AlReHg2 relaxed with PBEsol, from Alexandria.

Lattice parameters (Å, degrees): 3.205 3.205 6.881 90.00 90.00 90.00
Atoms (fractional coordinates):
Hg: 0.500 0.500 0.273
Hg: 0.000 0.000 0.978
Re: 0.000 0.000 0.542
Al: 0.500 0.500 0.707

Summary:
SG ... P4mm, No. 99
Formation energy from the elements ... 0.44 eV per atom

=====

The following is a SCAN calculation of a crystal of Y2Cu12Ni5 relaxed with PBEsol, from Alexandria.

Lattice parameters (Å, degrees): 8.043 8.324 8.324 120.00 90.00 90.00
Atoms (fractional coordinates):
Ni: 0.500 0.000 0.500
Ni: 0.500 0.500 0.000
Ni: 0.000 0.500 0.000
Ni: 0.000 0.000 0.500
Ni: 0.398 0.667 0.333
Ni: 0.500 0.500 0.500
Ni: 0.102 0.667 0.333
Ni: 0.000 0.500 0.500
Ni: 0.898 0.333 0.667
Ni: 0.602 0.333 0.667
Cu: 0.750 0.043 0.670
Cu: 0.750 0.330 0.373
Cu: 0.250 0.670 0.627
Cu: 0.750 0.627 0.957
Cu: 0.250 0.957 0.330
Cu: 0.250 0.373 0.330
Cu: 0.521 0.834 0.667
Cu: 0.021 0.166 0.333
Cu: 0.479 0.667 0.834
Cu: 0.979 0.834 0.667
Cu: 0.479 0.166 0.333
Cu: 0.521 0.834 0.166
Cu: 0.479 0.166 0.834
Cu: 0.979 0.333 0.166
Cu: 0.521 0.333 0.166
Cu: 0.750 0.043 0.373
Cu: 0.750 0.627 0.670
Cu: 0.250 0.957 0.627
Cu: 0.979 0.834 0.166
Cu: 0.021 0.166 0.834
Cu: 0.250 0.670 0.043
Cu: 0.250 0.373 0.043
Cu: 0.021 0.667 0.834
Cu: 0.750 0.330 0.957
Y: 0.750 0.000 0.000
Y: 0.250 0.000 0.000
Y: 0.750 0.667 0.333
Y: 0.250 0.333 0.667

Summary:
SG ... P6_3/mmc, No. 194
Formation energy from the elements ... -0.15 eV per atom

=====

The following is a SCAN calculation of a crystal of BaNa2Tl2 relaxed with PBEsol, from Alexandria.

Lattice parameters (Å, degrees): 3.674 9.115 9.115 90.00 90.00 90.00
Atoms (fractional coordinates):
Ba: 0.000 0.000 0.000
Ba: 0.000 0.500 0.500
Tl: 0.500 0.682 0.818
Tl: 0.500 0.818 0.318
Tl: 0.500 0.318 0.182
Tl: 0.500 0.182 0.682
Na: 0.000 0.617 0.117
Na: 0.000 0.883 0.617
Na: 0.000 0.117 0.383
Na: 0.000 0.383 0.883

Summary:
SG ... P4/mbm, No. 127
Formation energy from the elements ... -0.28 eV per atom

=====

The following is a SCAN calculation of a crystal of HgPHCl2 relaxed with PBEsol, from Alexandria.

Lattice parameters (Å, degrees): 3.332 4.994 4.994 90.00 90.00 90.00
Atoms (fractional coordinates):
P: 0.500 0.000 0.000
Cl: 0.000 0.500 0.000
Cl: 0.000 0.000 0.500
Hg: 0.500 0.500 0.500
H: 0.000 0.000 0.000

Summary:
SG ... P4/mmm, No. 123

=====

The following is a SCAN calculation of a crystal of CoOs2 relaxed with PBEsol, from Alexandria.

Lattice parameters (Å, degrees): 2.694 4.926 6.184 103.86 90.00 105.87
Atoms (fractional coordinates):
Os: 0.362 0.724 0.467
Os: 0.689 0.379 0.134
Os: 0.311 0.621 0.866
Os: 0.638 0.276 0.533
Co: 0.971 0.942 0.192
Co: 0.029 0.058 0.808

Summary:
SG ... C2/m, No. 12
Formation energy from the elements ... 0.15 eV per atom

=====

The following is a SCAN calculation of a crystal of Cs4Nb2Si8O23 relaxed with PBEsol, from Alexandria.

Lattice parameters (Å, degrees): 7.033 7.913 11.147 76.86 89.59 71.91
Atoms (fractional coordinates):
O: 0.867 0.267 0.569
O: 0.803 0.748 0.324
O: 0.953 0.027 0.242
O: 0.440 0.452 0.147
O: 0.133 0.733 0.431
O: 0.500 0.500 0.500
O: 0.550 0.150 0.582
O: 0.683 0.266 0.364
O: 0.197 0.252 0.676
O: 0.298 0.784 0.989
O: 0.127 0.697 0.200
O: 0.135 0.600 0.852
O: 0.471 0.930 0.780
O: 0.702 0.216 0.011
O: 0.521 0.246 0.797
O: 0.450 0.850 0.418
O: 0.479 0.754 0.203
O: 0.047 0.973 0.758
O: 0.560 0.548 0.853
O: 0.873 0.303 0.800
O: 0.317 0.734 0.636
O: 0.865 0.400 0.148
O: 0.529 0.070 0.220
Cs: 0.211 0.216 0.011
Cs: 0.176 0.284 0.359
Cs: 0.789 0.784 0.989
Cs: 0.824 0.716 0.641
Si: 0.660 0.330 0.868
Si: 0.003 0.811 0.297
Si: 0.650 0.297 0.500
Si: 0.997 0.189 0.703
Si: 0.563 0.862 0.288
Si: 0.350 0.703 0.500
Si: 0.340 0.670 0.132
Si: 0.437 0.138 0.712
Nb: 0.292 0.742 0.816
Nb: 0.708 0.258 0.184

Summary:
SG ... P-1, No. 2
Raw formation energy ... -2.917 eV per atom

=====

The following is a SCAN calculation of a crystal of LaTi2Pd2 relaxed with PBEsol, from Alexandria.

Lattice parameters (Å, degrees): 4.403 4.403 6.039 111.38 111.38 90.00
Atoms (fractional coordinates):
Ti: 0.250 0.750 0.500
Ti: 0.750 0.250 0.500
La: 0.000 0.000 0.000
Pd: 0.628 0.628 0.256
Pd: 0.372 0.372 0.744

Summary:
SG ... I4/mmm, No. 139
Formation energy from the elements ... -0.56 eV per atom

=====

The following is a SCAN calculation of a crystal of Li4Nb2Ni3Sn3O16 relaxed with PBEsol, from Alexandria.

Lattice parameters (Å, degrees): 6.039 6.039 9.679 89.00 89.00 60.39
Atoms (fractional coordinates):
O: 0.041 0.482 0.654
O: 0.487 0.487 0.657
O: 0.004 0.004 0.198
O: 0.960 0.519 0.149
O: 0.166 0.665 0.411
O: 0.510 0.510 0.155
O: 0.006 0.006 0.687
O: 0.662 0.662 0.391
O: 0.831 0.337 0.906
O: 0.519 0.960 0.149
O: 0.482 0.041 0.654
O: 0.337 0.831 0.906
O: 0.332 0.332 0.900
O: 0.665 0.166 0.411
O: 0.171 0.171 0.403
O: 0.839 0.839 0.909
Sn: 0.662 0.167 0.786
Sn: 0.167 0.662 0.786
Sn: 0.830 0.830 0.284
Li: 0.009 0.009 0.500
Li: 0.018 0.018 0.014
Li: 0.667 0.667 0.593
Li: 0.323 0.323 0.104
Ni: 0.829 0.339 0.287
Ni: 0.339 0.829 0.287
Ni: 0.171 0.171 0.786
Nb: 0.325 0.325 0.500
Nb: 0.648 0.648 0.023

Summary:
SG ... Cm, No. 8
Raw formation energy ... -2.046 eV per atom

=====

The following is a SCAN calculation of a crystal of SrZn2Ir relaxed with PBEsol, from Alexandria.

Lattice parameters (Å, degrees): 4.499 4.861 4.499 117.56 90.00 117.56
Atoms (fractional coordinates):
Sr: 0.250 0.500 0.750
Zn: 0.750 0.500 0.250
Zn: 0.000 0.000 0.000
Ir: 0.500 0.000 0.500

Summary:
SG ... I-4m2, No. 119
Formation energy from the elements ... 0.20 eV per atom

=====

The following is a SCAN calculation of a crystal of ZnPOs relaxed with PBEsol, from Alexandria.

Lattice parameters (Å, degrees): 3.150 3.949 3.949 120.00 90.00 90.00
Atoms (fractional coordinates):
Os: 0.000 0.000 0.000
Zn: 0.500 0.667 0.333
P: 0.000 0.333 0.667

Summary:
SG ... P-6m2, No. 187
Formation energy from the elements ... 0.10 eV per atom

=====

The following is a SCAN calculation of a crystal of TcSbTe2Se relaxed with PBEsol, from Alexandria.

Lattice parameters (Å, degrees): 5.365 5.365 5.217 90.00 90.00 90.00
Atoms (fractional coordinates):
Sb: 0.000 0.000 0.500
Tc: 0.500 0.500 0.500
Te: 0.500 0.000 0.000
Te: 0.000 0.500 0.000
Se: 0.000 0.000 0.000

Summary:
SG ... P4/mmm, No. 123
Raw formation energy ... 1.219 eV per atom

=====

The following is a SCAN calculation of a crystal of Y2InIr relaxed with PBEsol, from Alexandria.

Lattice parameters (Å, degrees): 3.409 3.409 7.785 90.00 90.00 90.00
Atoms (fractional coordinates):
Y: 0.000 0.000 0.713
Y: 0.000 0.000 0.287
Ir: 0.500 0.500 0.500
In: 0.500 0.500 0.000

Summary:
SG ... P4/mmm, No. 123
Formation energy from the elements ... -0.86 eV per atom

=====

The following is a SCAN calculation of a crystal of Li3Ni relaxed with PBEsol, from Alexandria.

Lattice parameters (Å, degrees): 2.504 4.158 5.167 90.00 101.20 90.00
Atoms (fractional coordinates):
Li: 0.000 0.500 0.500
Li: 0.219 0.000 0.223
Li: 0.781 0.000 0.777
Ni: 0.500 0.500 0.000

Summary:
SG ... P2/m, No. 10
Formation energy from the elements ... 0.11 eV per atom

=====

The following is a SCAN calculation of a crystal of BeAl2As relaxed with PBEsol, from Alexandria.

Lattice parameters (Å, degrees): 3.419 3.662 5.621 109.01 107.71 90.00
Atoms (fractional coordinates):
Al: 0.755 0.255 0.510
Al: 0.952 0.952 0.904
As: 0.565 0.565 0.130
Be: 0.228 0.728 0.456

Summary:
SG ... Imm2, No. 44
Formation energy from the elements ... 0.20 eV per atom

=====

The following is a SCAN calculation of a crystal of CaLaSc2 relaxed with PBEsol, from Alexandria.

Lattice parameters (Å, degrees): 3.426 5.905 6.038 99.07 90.00 106.86
Atoms (fractional coordinates):
Ca: 0.000 0.000 0.500
Sc: 0.755 0.510 0.766
Sc: 0.245 0.490 0.234
La: 0.500 0.000 0.000

Summary:
SG ... C2/m, No. 12
Formation energy from the elements ... 0.22 eV per atom

=====

The following is a SCAN calculation of a crystal of Sr2AsRh relaxed with PBEsol, from Alexandria.

Lattice parameters (Å, degrees): 4.830 5.311 4.830 62.96 90.00 117.04
Atoms (fractional coordinates):
Sr: 0.750 0.500 0.750
Sr: 0.250 0.500 0.250
Rh: 0.000 0.000 0.000
As: 0.500 0.000 0.500

Summary:
SG ... I4/mmm, No. 139
Formation energy from the elements ... -0.49 eV per atom

=====

The following is a SCAN calculation of a crystal of Ta3AsI relaxed with PBEsol, from Alexandria.

Lattice parameters (Å, degrees): 4.939 4.939 4.939 90.00 90.00 90.00
Atoms (fractional coordinates):
Ta: 0.500 0.000 0.000
Ta: 0.000 0.500 0.000
Ta: 0.000 0.000 0.500
As: 0.500 0.500 0.500
I: 0.000 0.000 0.000

Summary:
SG ... Pm-3m, No. 221
Raw formation energy ... 2.365 eV per atom

=====

The following is a SCAN calculation of a crystal of HgRuSe2N relaxed with PBEsol, from Alexandria.

Lattice parameters (Å, degrees): 3.933 5.212 5.212 90.00 90.00 90.00
Atoms (fractional coordinates):
Ru: 0.500 0.500 0.500
Se: 0.000 0.500 0.000
Se: 0.000 0.000 0.500
N: 0.500 0.000 0.000
Hg: 0.000 0.000 0.000

Summary:
SG ... P4/mmm, No. 123
Raw formation energy ... 1.730 eV per atom

=====

Fermi-level density of states per entry: 0.533, 0.595, 0.561, 0.533, 0.703, 0.596, 0.775, 0.000, 0.767, 0.000, 0.548, 0.391, 0.870, 0.676, 0.526, 0.274, 1.354, 0.357, 1.267, 0.769 states/eV/atom
Final energy per entry: -16.582, -15.156, -53.352, -16.939, -38.815, -19.126, -53.537, -14.834, -28.701, -13.897, -29.903, -31.835, -32.161, -40.901, -5.730, -9.809, -20.093, -25.118, -48.971, -28.758 eV/atom